Record 1
Material: Dy3Al2Ni9
Method: DFT, PBE-GGA
State: relaxed

Results
N(E_F)   11.210 states/eV per cell
Space-group type   Immm
Uncorrected energy   -5.651 eV per atom
Energy of formation from the pure elements   -413 meV per atom

Unit cell a=3.9613 b=7.7620 c=7.7620 alpha=68.02 beta=75.22 gamma=75.22
Atoms (fractional coordinates):
Al1 0.5000 0.7075 0.2925
Al2 0.5000 0.2925 0.7075
Dy1 0.7021 0.2979 0.2979
Dy2 0.0000 0.0000 0.0000
Dy3 0.2979 0.7021 0.7021
Ni1 0.3236 0.0277 0.3251
Ni2 0.6764 0.9723 0.6749
Ni3 0.0000 0.5000 0.5000
Ni4 0.6764 0.6749 0.9723
Ni5 0.1188 0.6020 0.1603
Ni6 0.8812 0.8397 0.3980
Ni7 0.8812 0.3980 0.8397
Ni8 0.3236 0.3251 0.0277
Ni9 0.1188 0.1603 0.6020

Record 2
Material: Dy4AlNi2
Method: DFT, PBE-GGA
State: relaxed

Results
N(E_F)   4.682 states/eV per cell
Space-group type   R-3m
Uncorrected energy   -5.074 eV per atom
Energy of formation from the pure elements   -258 meV per atom

Unit cell a=4.8100 b=4.8100 c=8.8048 alpha=74.15 beta=74.15 gamma=60.00
Atoms (fractional coordinates):
Dy1 0.7062 0.7062 0.8814
Dy2 0.8831 0.8831 0.3506
Dy3 0.2938 0.2938 0.1186
Dy4 0.1169 0.1169 0.6494
Ni1 0.4051 0.4051 0.7847
Ni2 0.5949 0.5949 0.2153
Al1 0.5000 0.5000 0.5000

Record 3
Material: DyAl7Ni5
Method: DFT, PBE-GGA
State: relaxed

Results
N(E_F)   6.235 states/eV per cell
Space-group type   Imm2
Uncorrected energy   -5.185 eV per atom
Energy of formation from the pure elements   -592 meV per atom

Unit cell a=4.9937 b=6.5548 c=6.5548 alpha=82.65 beta=67.61 gamma=67.61
Atoms (fractional coordinates):
Al1 0.5112 0.1963 0.7813
Al2 0.9848 0.3604 0.6701
Al3 0.3408 0.6592 0.6592
Al4 0.5112 0.7813 0.1963
Al5 0.2736 0.2264 0.2264
Al6 0.9848 0.6701 0.3604
Al7 0.6536 0.3464 0.3464
Ni1 0.4997 0.0075 0.4890
Ni2 0.0037 0.4890 0.0075
Ni3 0.7293 0.7707 0.7707
Ni4 0.4997 0.4890 0.0075
Ni5 0.0037 0.0075 0.4890
Dy1 0.0040 0.9960 0.9960

Record 4
Material: Dy3Al5Ni
Method: DFT, PBE-GGA
State: relaxed

Results
N(E_F)   3.317 states/eV per cell
Space-group type   P-62m
Uncorrected energy   -4.813 eV per atom
Energy of formation from the pure elements   -558 meV per atom

Unit cell a=4.3142 b=6.9597 c=6.9597 alpha=120.00 beta=90.00 gamma=90.00
Atoms (fractional coordinates):
Al1 0.5000 0.2300 0.2300
Al2 0.5000 0.3333 0.6667
Al3 0.5000 0.0000 0.7700
Al4 0.5000 0.6667 0.3333
Al5 0.5000 0.7700 0.0000
Dy1 0.0000 0.0000 0.4034
Dy2 0.0000 0.5966 0.5966
Dy3 0.0000 0.4034 0.0000
Ni1 0.0000 0.0000 0.0000

Record 5
Material: DyAl4Ni2
Method: DFT, PBE-GGA
State: relaxed

Results
N(E_F)   11.302 states/eV per cell
Space-group type   Pnma
Uncorrected energy   -5.029 eV per atom
Energy of formation from the pure elements   -581 meV per atom

Unit cell a=4.1316 b=6.4018 c=16.8348 alpha=90.00 beta=90.00 gamma=90.00
Atoms (fractional coordinates):
Al1 0.7500 0.7711 0.8034
Al2 0.2500 0.1656 0.5323
Al3 0.2500 0.8259 0.1874
Al4 0.2500 0.9967 0.9274
Al5 0.7500 0.8344 0.4677
Al6 0.2500 0.5033 0.4274
Al7 0.2500 0.2289 0.1966
Al8 0.7500 0.6656 0.9677
Al9 0.7500 0.0033 0.0726
Al10 0.7500 0.3259 0.3126
Al11 0.2500 0.2711 0.6966
Al12 0.2500 0.3344 0.0323
Al13 0.7500 0.7289 0.3034
Al14 0.7500 0.4967 0.5726
Al15 0.7500 0.1741 0.8126
Al16 0.2500 0.6741 0.6874
Ni1 0.2500 0.7566 0.5399
Ni2 0.2500 0.7434 0.0399
Ni3 0.7500 0.0299 0.2166
Ni4 0.7500 0.2566 0.9601
Ni5 0.7500 0.4701 0.7166
Ni6 0.2500 0.5299 0.2834
Ni7 0.2500 0.9701 0.7834
Ni8 0.7500 0.2434 0.4601
Dy1 0.2500 0.0184 0.3612
Dy2 0.2500 0.4816 0.8612
Dy3 0.7500 0.5184 0.1388
Dy4 0.7500 0.9816 0.6388

Record 6
Material: DyAl2Ni6
Method: DFT, PBE-GGA
State: relaxed

Results
N(E_F)   9.042 states/eV per cell
Space-group type   Immm
Uncorrected energy   -5.410 eV per atom
Energy of formation from the pure elements   -213 meV per atom

Unit cell a=2.8643 b=7.2886 c=7.2886 alpha=55.50 beta=78.67 gamma=78.67
Atoms (fractional coordinates):
Ni1 0.6791 0.6331 0.0087
Ni2 0.6791 0.0087 0.6331
Ni3 0.5000 0.6680 0.3320
Ni4 0.3209 0.3669 0.9913
Ni5 0.3209 0.9913 0.3669
Ni6 0.5000 0.3320 0.6680
Al1 0.1448 0.3552 0.3552
Al2 0.8552 0.6448 0.6448
Dy1 0.0000 0.0000 0.0000

Record 7
Material: DyAlNi
Method: DFT, PBE-GGA
State: relaxed

Results
N(E_F)   7.044 states/eV per cell
Space-group type   Amm2
Uncorrected energy   -5.221 eV per atom
Energy of formation from the pure elements   -513 meV per atom

Unit cell a=5.3005 b=5.3005 c=8.6136 alpha=90.00 beta=90.00 gamma=118.78
Atoms (fractional coordinates):
Dy1 0.3417 0.6583 0.2103
Dy2 0.6719 0.3281 0.3182
Dy3 0.6719 0.3281 0.6818
Dy4 0.3417 0.6583 0.7897
Al1 0.3353 0.1582 0.0000
Al2 0.1374 0.8626 0.5000
Al3 0.8400 0.1600 0.0000
Al4 0.8418 0.6647 0.0000
Ni1 0.0062 0.9938 0.2379
Ni2 0.1471 0.3416 0.5000
Ni3 0.6584 0.8529 0.5000
Ni4 0.0062 0.9938 0.7621

Record 8
Material: Dy3Al9Ni2
Method: DFT, PBE-GGA
State: relaxed

Results
N(E_F)   5.955 states/eV per cell
Space-group type   Immm
Uncorrected energy   -4.735 eV per atom
Energy of formation from the pure elements   -517 meV per atom

Unit cell a=4.2305 b=8.1074 c=8.1074 alpha=75.31 beta=74.88 gamma=74.88
Atoms (fractional coordinates):
Ni1 0.5000 0.2938 0.7062
Ni2 0.5000 0.7062 0.2938
Al1 0.6559 0.9785 0.7097
Al2 0.8779 0.8405 0.4038
Al3 0.0000 0.5000 0.5000
Al4 0.1221 0.1595 0.5962
Al5 0.3441 0.2903 0.0215
Al6 0.3441 0.0215 0.2903
Al7 0.8779 0.4038 0.8405
Al8 0.6559 0.7097 0.9785
Al9 0.1221 0.5962 0.1595
Dy1 0.6886 0.3114 0.3114
Dy2 0.0000 0.0000 0.0000
Dy3 0.3114 0.6886 0.6886

Record 9
Material: Dy2Al5Ni3
Method: DFT, PBE-GGA
State: relaxed

Results
N(E_F)   10.641 states/eV per cell
Space-group type   Cmc2_1
Uncorrected energy   -5.107 eV per atom
Energy of formation from the pure elements   -581 meV per atom

Unit cell a=4.1399 b=6.5464 c=12.4708 alpha=90.00 beta=99.55 gamma=90.00
Atoms (fractional coordinates):
Al1 0.4014 0.4048 0.8029
Al2 0.2875 0.5103 0.5749
Al3 0.5986 0.9048 0.1971
Al4 0.8711 0.7420 0.7423
Al5 0.0559 0.5989 0.1119
Al6 0.7125 0.0103 0.4251
Al7 0.1289 0.2420 0.2577
Al8 0.7079 0.4085 0.4159
Al9 0.9441 0.0989 0.8881
Al10 0.2921 0.9085 0.5841
Ni1 0.7719 0.7070 0.5438
Ni2 0.3904 0.0201 0.7809
Ni3 0.2281 0.2070 0.4562
Ni4 0.9512 0.4848 0.9024
Ni5 0.6096 0.5201 0.2191
Ni6 0.0488 0.9848 0.0976
Dy1 0.5215 0.2703 0.0430
Dy2 0.1747 0.7182 0.3494
Dy3 0.4785 0.7703 0.9570
Dy4 0.8253 0.2182 0.6506

Record 10
Material: Dy2Al9Ni3
Method: DFT, PBE-GGA
State: relaxed

Results
N(E_F)   10.226 states/eV per cell
Space-group type   C2/c
Uncorrected energy   -4.867 eV per atom
Energy of formation from the pure elements   -565 meV per atom

Unit cell a=7.4691 b=7.4691 c=10.2562 alpha=89.84 beta=111.31 gamma=120.32
Atoms (fractional coordinates):
Al1 0.1361 0.9847 0.9502
Al2 0.1205 0.1433 0.4311
Al3 0.3296 0.2930 0.2480
Al4 0.1175 0.8675 0.2500
Al5 0.2122 0.6893 0.0689
Al6 0.4654 0.8141 0.4502
Al7 0.8639 0.0153 0.0498
Al8 0.5496 0.3589 0.0706
Al9 0.5346 0.1859 0.5498
Al10 0.8795 0.8567 0.5689
Al11 0.7878 0.3107 0.9311
Al12 0.4550 0.9184 0.7480
Al13 0.7883 0.4789 0.4294
Al14 0.4504 0.6411 0.9294
Al15 0.5450 0.0816 0.2520
Al16 0.6704 0.7070 0.7520
Al17 0.2117 0.5211 0.5706
Al18 0.8825 0.1325 0.7500
Ni1 0.1710 0.3406 0.0005
Ni2 0.8290 0.6594 0.9995
Ni3 0.5000 0.5000 0.5000
Ni4 0.1599 0.8295 0.5005
Ni5 0.8401 0.1705 0.4995
Ni6 0.5000 0.0000 0.0000
Dy1 0.9967 0.5856 0.7501
Dy2 0.3355 0.2466 0.7499
Dy3 0.0033 0.4144 0.2499
Dy4 0.6645 0.7534 0.2501